# 1
Entry from Alexandria: KNaSc2 after structural relaxation (PBE).

The structure in extended XYZ format:
```
16
Lattice="8.084 0.000 0.000 0.000 8.084 0.000 0.000 0.000 8.084" Properties=species:S:1:pos:R:3 pbc="T T T"
K 0.000 0.000 0.000
K 0.000 4.042 4.042
K 4.042 0.000 4.042
K 4.042 4.042 0.000
Na 0.000 0.000 4.042
Na 0.000 4.042 0.000
Na 4.042 0.000 0.000
Na 4.042 4.042 4.042
Sc 2.021 2.021 2.021
Sc 2.021 2.021 6.063
Sc 2.021 6.063 2.021
Sc 2.021 6.063 6.063
Sc 6.063 2.021 2.021
Sc 6.063 2.021 6.063
Sc 6.063 6.063 2.021
Sc 6.063 6.063 6.063
```

- crystal system = cubic
- electronic total energy (eV for the cell shown) = -47.16
- offset from the most stable computed form (kJ/mol of atoms) = 27.2
- formation energy (eV/atom) = 0.822


# 2
Entry from Alexandria: KNaSc3 after structural relaxation (PBE).

The structure in extended XYZ format:
```
5
Lattice="5.295 0.000 0.000 0.000 5.295 0.000 0.000 0.000 5.295" Properties=species:S:1:pos:R:3 pbc="T T T"
K 0.000 0.000 0.000
Na 2.647 2.647 2.647
Sc 0.000 0.000 2.647
Sc 0.000 2.647 0.000
Sc 2.647 0.000 0.000
```

- crystal system = cubic
- electronic total energy (eV for the cell shown) = -14.46
- offset from the most stable computed form (kJ/mol of atoms) = 31.3
- formation energy (eV/atom) = 1.390


# 3
Entry from Alexandria: KNaSc2 after structural relaxation (PBE).

The structure in extended XYZ format:
```
12
Lattice="3.325 0.000 0.000 -1.663 2.880 0.000 0.000 0.000 38.862" Properties=species:S:1:pos:R:3 pbc="T T T"
K 0.000 0.000 0.000
K 0.000 1.920 25.908
K 1.663 0.960 12.954
Na 0.000 0.000 19.431
Na 0.000 1.920 6.477
Na 1.663 0.960 32.385
Sc 0.000 0.000 3.455
Sc 0.000 0.000 35.407
Sc 0.000 1.920 22.453
Sc 0.000 1.920 29.363
Sc 1.663 0.960 9.499
Sc 1.663 0.960 16.409
```

- crystal system = trigonal
- electronic total energy (eV for the cell shown) = -38.76
- offset from the most stable computed form (kJ/mol of atoms) = 0.0
- formation energy (eV/atom) = 0.540


# 4
Entry from Alexandria: KNaSc2Se after structural relaxation (PBE).

The structure in extended XYZ format:
```
5
Lattice="5.500 0.000 0.000 0.000 5.500 0.000 0.000 0.000 5.430" Properties=species:S:1:pos:R:3 pbc="T T T"
K 0.000 0.000 0.000
Na 2.750 2.750 2.715
Sc 0.000 2.750 2.715
Sc 2.750 0.000 2.715
Se 2.750 2.750 0.000
```

- crystal system = tetragonal
- electronic total energy (eV for the cell shown) = -15.52
- formation energy without anion corrections (meV/atom) = 609


# 5
Entry from Alexandria: KNaScTi2 after structural relaxation (PBE).

The structure in extended XYZ format:
```
5
Lattice="4.969 0.000 0.000 0.000 4.969 0.000 0.000 0.000 6.173" Properties=species:S:1:pos:R:3 pbc="T T T"
K 0.000 0.000 0.000
Na 2.485 2.485 0.000
Sc 2.485 2.485 3.086
Ti 0.000 2.485 3.086
Ti 2.485 0.000 3.086
```

- crystal system = tetragonal
- electronic total energy (eV for the cell shown) = -18.77
- formation energy (eV/atom) = 1.154


# 6
Entry from Alexandria: K2NaScZn after structural relaxation (PBE).

The structure in extended XYZ format:
```
5
Lattice="6.358 0.000 0.000 0.000 6.358 0.000 0.000 0.000 5.672" Properties=species:S:1:pos:R:3 pbc="T T T"
K 0.000 3.179 0.000
K 3.179 0.000 0.000
Na 0.000 0.000 2.836
Sc 3.179 3.179 2.836
Zn 0.000 0.000 0.000
```

- crystal system = tetragonal
- electronic total energy (eV for the cell shown) = -7.81
- formation energy (eV/atom) = 0.662


# 7
Entry from Alexandria: KNaSe3 after structural relaxation (PBE).

The structure in extended XYZ format:
```
5
Lattice="6.002 0.000 0.000 0.000 6.002 0.000 0.000 0.000 6.002" Properties=species:S:1:pos:R:3 pbc="T T T"
K 0.000 0.000 0.000
Na 3.001 3.001 3.001
Se 0.000 0.000 3.001
Se 0.000 3.001 0.000
Se 3.001 0.000 0.000
```

- crystal system = cubic
- electronic total energy (eV for the cell shown) = -11.17
- offset from the most stable computed form (kJ/mol of atoms) = 100.6
- formation energy without anion corrections (meV/atom) = 340


# 8
Entry from Alexandria: KNaSe after structural relaxation (PBE).

The structure in extended XYZ format:
```
3
Lattice="4.826 0.000 0.000 -2.413 4.179 0.000 0.000 0.000 4.741" Properties=species:S:1:pos:R:3 pbc="T T T"
K 0.000 0.000 0.000
Na 2.413 1.393 2.370
Se 0.000 2.786 2.370
```

- crystal system = hexagonal
- electronic total energy (eV for the cell shown) = -8.88
- formation energy without anion corrections (meV/atom) = -994


# 9
Entry from Alexandria: KNaSe2 after structural relaxation (PBE).

The structure in extended XYZ format:
```
8
Lattice="7.229 0.000 0.000 0.000 5.422 0.000 -3.285 0.000 6.153" Properties=species:S:1:pos:R:3 pbc="T T T"
K 0.000 0.000 0.000
K 3.614 2.711 0.000
Na -1.643 0.000 3.077
Na 1.972 2.711 3.077
Se -1.003 2.711 2.034
Se 1.332 0.000 4.119
Se 2.611 0.000 2.034
Se 4.946 2.711 4.119
```

- crystal system = monoclinic
- electronic total energy (eV for the cell shown) = -25.37
- offset from the most stable computed form (kJ/mol of atoms) = 0.0
- formation energy without anion corrections (meV/atom) = -825


# 10
Entry from Alexandria: KNaSe2 after structural relaxation (PBE).

The structure in extended XYZ format:
```
8
Lattice="4.740 0.000 0.000 0.000 6.270 0.000 0.000 0.000 9.141" Properties=species:S:1:pos:R:3 pbc="T T T"
K 0.000 0.000 0.000
K 0.000 3.135 4.571
Na 2.370 0.000 4.871
Na 2.370 3.135 0.300
Se 2.370 1.219 2.349
Se 2.370 1.916 6.920
Se 2.370 4.354 6.920
Se 2.370 5.051 2.349
```

- crystal system = orthorhombic
- electronic total energy (eV for the cell shown) = -24.91
- offset from the most stable computed form (kJ/mol of atoms) = 5.5
- formation energy without anion corrections (meV/atom) = -768


# 11
Entry from Alexandria: KNaSe after structural relaxation (PBE).

The structure in extended XYZ format:
```
12
Lattice="8.131 0.000 0.000 0.000 4.832 0.000 0.000 0.000 8.792" Properties=species:S:1:pos:R:3 pbc="T T T"
K 0.122 1.208 1.614
K 3.944 3.624 6.011
K 4.187 1.208 2.782
K 8.009 3.624 7.178
Na 1.188 1.208 5.042
Na 2.877 3.624 0.646
Na 5.254 1.208 8.147
Na 6.943 3.624 3.750
Se 1.794 3.624 3.452
Se 2.272 1.208 7.848
Se 5.859 3.624 0.944
Se 6.337 1.208 5.340
```

- crystal system = orthorhombic
- electronic total energy (eV for the cell shown) = -36.88
- formation energy without anion corrections (meV/atom) = -1106


# 12
Entry from Alexandria: K3NaSe after structural relaxation (PBE).

The structure in extended XYZ format:
```
5
Lattice="6.399 0.000 0.000 0.000 6.399 0.000 0.000 0.000 6.399" Properties=species:S:1:pos:R:3 pbc="T T T"
K 0.000 0.000 3.199
K 0.000 3.199 0.000
K 3.199 0.000 0.000
Na 3.199 3.199 3.199
Se 0.000 0.000 0.000
```

- crystal system = cubic
- electronic total energy (eV for the cell shown) = -10.97
- offset from the most stable computed form (kJ/mol of atoms) = 0.0
- formation energy without anion corrections (meV/atom) = -575


# 13
Entry from Alexandria: K2Na2Se after structural relaxation (PBE).

The structure in extended XYZ format:
```
10
Lattice="7.903 0.000 0.000 0.000 7.903 0.000 0.000 0.000 6.087" Properties=species:S:1:pos:R:3 pbc="T T T"
K 1.533 2.419 0.000
K 2.419 6.371 0.000
K 5.484 1.533 0.000
K 6.371 5.484 0.000
Na 1.232 5.184 3.044
Na 2.720 1.232 3.044
Na 5.184 6.671 3.044
Na 6.671 2.720 3.044
Se 0.000 0.000 3.044
Se 3.952 3.952 3.044
```

- crystal system = tetragonal
- electronic total energy (eV for the cell shown) = -20.91
- offset from the most stable computed form (kJ/mol of atoms) = 0.0
- formation energy without anion corrections (meV/atom) = -427


no.,size of the total moment (μB per formula unit)
1,2.0
2,0.0
3,0.0
4,2.5
5,0.0
6,1.6
7,4.0
8,0.0
9,0.0
10,0.0
11,0.0
12,0.0
13,0.0